Here is a relaxed structure of HfTcCl3 from Alexandria. Energies are from PBE-GGA.

abc: 4.740 4.740 4.740
angles: 90.00 90.00 90.00
Fractional positions:
Cl 0.000 0.500 0.000
Cl 0.500 0.000 0.000
Cl 0.000 0.000 0.500
Tc 0.000 0.000 0.000
Hf 0.500 0.500 0.500

## Properties
Total magnetization, μB per formula unit: 0.00
Mass density, g/cm3: 6.0
DFT total energy, eV/f.u.: -23.0
SG: Pm-3m (221)
Calculated volume, Å³/atom: 21.3